The following is a DFT calculation (PBE-GGA) of crystalline Pm2PaN4 at its relaxed geometry.

Values from the calculation:
Magnetic moment ... 0.12 μB/atom
DFT total energy ... -62.0 eV per formula unit

Cell: 6.014 10.002 3.617 Å, 90.00 90.00 90.00°
Atoms (fractional coordinates):
Pm 0.438 0.675 0.500
Pm 0.062 0.175 0.500
Pm 0.562 0.325 0.500
Pm 0.938 0.825 0.500
N 0.232 0.459 0.500
N 0.732 0.041 0.500
N 0.649 0.803 0.000
N 0.351 0.197 0.000
N 0.149 0.697 0.000
N 0.268 0.959 0.500
N 0.851 0.303 0.000
N 0.768 0.541 0.500
Pa 0.500 0.000 0.000
Pa 0.000 0.500 0.000